[1]
Density functional theory data (PBE-GGA) for crystalline UCdBiN at its relaxed geometry.

calculated density: 10.18 Mg/m³
raw total energy: -6.663 eV/atom

Geometry as extended XYZ:
```
8
Lattice="-2.908 1.901 1.898 -2.281 -0.271 -3.225 -4.274 -10.434 3.900" Properties=species:S:1:pos:R:3 pbc="T T T"
U -7.777 -8.261 2.550
U -1.687 -0.543 0.024
Cd -4.575 -4.945 0.006
Cd -4.889 -3.859 2.567
Bi -4.969 -1.407 -0.012
Bi -4.494 -7.397 2.585
N -2.752 1.358 0.618
N -2.438 0.272 -1.944
```

---

[2]
Density functional theory data (PBE-GGA) for crystalline PrAsClO4 at its relaxed geometry.

calculated density: 3.86 Mg/m³
raw total energy: -6.324 eV/atom

Geometry as extended XYZ:
```
14
Lattice="6.622 0.475 -0.365 2.641 6.091 -0.365 1.500 1.063 6.818" Properties=species:S:1:pos:R:3 pbc="T T T"
Pr 3.965 2.811 5.483
Pr 6.797 4.818 0.606
As 7.090 5.025 4.462
As 3.673 2.603 1.627
Cl 0.430 0.305 0.846
Cl 10.332 7.323 5.243
O 3.359 2.380 3.274
O 7.404 5.248 2.815
O 2.298 3.231 0.761
O 5.045 3.576 1.350
O 6.953 6.530 5.328
O 3.810 1.098 0.761
O 5.718 4.053 4.738
O 8.464 4.397 5.328
```